Record 1
Material: Nd4Ta6O19
Method: DFT, PBE-GGA
State: relaxed

The structure in CIF format:
```
data_Nd4Ta6O19
_symmetry_space_group_name_H-M 'P 1'
_symmetry_Int_Tables_number 1
_cell_length_a 8.0483
_cell_length_b 8.0483
_cell_length_c 8.0483
_cell_angle_alpha 109.47
_cell_angle_beta 109.47
_cell_angle_gamma 109.47
loop_
_symmetry_equiv_pos_as_xyz
'x,y,z'
loop_
_atom_site_label
_atom_site_type_symbol
_atom_site_fract_x
_atom_site_fract_y
_atom_site_fract_z
Nd1 Nd 0.0000 0.0000 0.2948
Nd2 Nd 0.0000 0.2948 0.0000
Nd3 Nd 0.2948 0.0000 0.0000
Nd4 Nd 0.7052 0.7052 0.7052
Ta1 Ta 0.1497 0.5000 0.6497
Ta2 Ta 0.3503 0.8503 0.5000
Ta3 Ta 0.5000 0.3503 0.8503
Ta4 Ta 0.5000 0.6497 0.1497
Ta5 Ta 0.6497 0.1497 0.5000
Ta6 Ta 0.8503 0.5000 0.3503
O1 O 0.0000 0.0000 0.0000
O2 O 0.0000 0.3306 0.3306
O3 O 0.0000 0.6694 0.6694
O4 O 0.0387 0.7355 0.3528
O5 O 0.2645 0.3032 0.6174
O6 O 0.3032 0.6174 0.2645
O7 O 0.3142 0.6968 0.9613
O8 O 0.3306 0.0000 0.3306
O9 O 0.3306 0.3306 0.0000
O10 O 0.3528 0.0387 0.7355
O11 O 0.3826 0.6858 0.6472
O12 O 0.6174 0.2645 0.3032
O13 O 0.6472 0.3826 0.6858
O14 O 0.6694 0.0000 0.6694
O15 O 0.6694 0.6694 0.0000
O16 O 0.6858 0.6472 0.3826
O17 O 0.6968 0.9613 0.3142
O18 O 0.7355 0.3528 0.0387
O19 O 0.9613 0.3142 0.6968
```

Calculated values
- crystal system = cubic
- total magnetic moment (μB/cell) = 2.0
- N(E_F) (states/eV/f.u.) = 6.4
- calculated total energy (eV for the cell shown) = -269.3
- formation energy without anion corrections (eV per atom) = -2.93
- volume (A^3/atom) = 13.84

Record 2
Material: NdTa7O19
Method: DFT, PBE-GGA
State: relaxed

The structure in CIF format:
```
data_NdTa7O19
_symmetry_space_group_name_H-M 'P 1'
_symmetry_Int_Tables_number 1
_cell_length_a 6.2905
_cell_length_b 6.2905
_cell_length_c 20.1514
_cell_angle_alpha 90.00
_cell_angle_beta 90.00
_cell_angle_gamma 120.00
loop_
_symmetry_equiv_pos_as_xyz
'x,y,z'
loop_
_atom_site_label
_atom_site_type_symbol
_atom_site_fract_x
_atom_site_fract_y
_atom_site_fract_z
Nd1 Nd 0.0000 0.0000 0.0000
Nd2 Nd 0.0000 0.0000 0.5000
Ta1 Ta 0.3346 0.0257 0.1559
Ta2 Ta 0.3346 0.0257 0.3441
Ta3 Ta 0.3346 0.3089 0.6559
Ta4 Ta 0.3346 0.3089 0.8441
Ta5 Ta 0.6667 0.3333 0.0000
Ta6 Ta 0.6667 0.3333 0.5000
Ta7 Ta 0.6911 0.0257 0.6559
Ta8 Ta 0.6911 0.0257 0.8441
Ta9 Ta 0.6911 0.6654 0.1559
Ta10 Ta 0.6911 0.6654 0.3441
Ta11 Ta 0.9743 0.3089 0.1559
Ta12 Ta 0.9743 0.3089 0.3441
Ta13 Ta 0.9743 0.6654 0.6559
Ta14 Ta 0.9743 0.6654 0.8441
O1 O 0.0000 0.0000 0.1320
O2 O 0.0000 0.0000 0.3680
O3 O 0.0000 0.0000 0.6320
O4 O 0.0000 0.0000 0.8680
O5 O 0.0884 0.4215 0.6533
O6 O 0.0884 0.4215 0.8467
O7 O 0.0884 0.6669 0.1533
O8 O 0.0884 0.6669 0.3467
O9 O 0.2920 0.0419 0.2500
O10 O 0.2920 0.2501 0.7500
O11 O 0.3331 0.4215 0.1533
O12 O 0.3331 0.4215 0.3467
O13 O 0.3331 0.9116 0.6533
O14 O 0.3331 0.9116 0.8467
O15 O 0.3846 0.0977 0.0568
O16 O 0.3846 0.0977 0.4432
O17 O 0.3846 0.2868 0.5568
O18 O 0.3846 0.2868 0.9432
O19 O 0.5785 0.6669 0.6533
O20 O 0.5785 0.6669 0.8467
O21 O 0.5785 0.9116 0.1533
O22 O 0.5785 0.9116 0.3467
O23 O 0.6667 0.3333 0.1673
O24 O 0.6667 0.3333 0.3327
O25 O 0.6667 0.3333 0.6673
O26 O 0.6667 0.3333 0.8327
O27 O 0.7132 0.0977 0.5568
O28 O 0.7132 0.0977 0.9432
O29 O 0.7132 0.6154 0.0568
O30 O 0.7132 0.6154 0.4432
O31 O 0.7499 0.0419 0.7500
O32 O 0.7499 0.7080 0.2500
O33 O 0.9023 0.2868 0.0568
O34 O 0.9023 0.2868 0.4432
O35 O 0.9023 0.6154 0.5568
O36 O 0.9023 0.6154 0.9432
O37 O 0.9581 0.2501 0.2500
O38 O 0.9581 0.7080 0.7500
```

Calculated values
- crystal system = hexagonal
- total magnetic moment (μB/cell) = 0.0
- N(E_F) (states/eV/f.u.) = 0.0
- calculated total energy (eV for the cell shown) = -522.2
- formation energy without anion corrections (eV per atom) = -2.93
- volume (A^3/atom) = 12.79